Entry 1
Below is crystalline BaOsAu2 at its relaxed geometry, with properties calculated at the GGA-PBE level.

## Properties
DOS at the Fermi energy: 9.036 states/eV/cell

Cell and atoms, written as CIF:
```
data_BaOsAu2
_cell_length_a 3.748
_cell_length_b 5.551
_cell_length_c 9.679
_cell_angle_alpha 90.00
_cell_angle_beta 90.00
_cell_angle_gamma 90.00
_symmetry_space_group_name_H-M 'I m m m'
_symmetry_Int_Tables_number 71
_symmetry_space_group_name_Hall '-I 2 2'
loop_
_atom_site_label
_atom_site_fract_x
_atom_site_fract_y
_atom_site_fract_z
Ba1 0.000 0.000 0.000
Os1 0.000 0.000 0.500
Au1 0.000 0.500 0.194
```

***

Entry 2
Below is crystalline BaOsAu2 at its relaxed geometry, with properties calculated at the GGA-PBE level.

## Properties
DOS at the Fermi energy: 6.829 states/eV/cell

Cell and atoms, written as CIF:
```
data_BaOsAu2
_cell_length_a 3.285
_cell_length_b 5.233
_cell_length_c 10.460
_cell_angle_alpha 90.00
_cell_angle_beta 90.00
_cell_angle_gamma 90.00
_symmetry_space_group_name_H-M 'I m m 2'
_symmetry_Int_Tables_number 44
loop_
_symmetry_equiv_pos_as_xyz
'x,y,z'
'-x,-y,z'
'-x,y,z'
'x,-y,z'
'x+1/2,y+1/2,z+1/2'
'-x+1/2,-y+1/2,z+1/2'
'-x+1/2,y+1/2,z+1/2'
'x+1/2,-y+1/2,z+1/2'
loop_
_atom_site_label
_atom_site_fract_x
_atom_site_fract_y
_atom_site_fract_z
Ba1 0.000 0.000 0.000
Os1 0.000 0.500 0.770
Au1 0.000 0.000 0.482
Au2 0.000 0.500 0.218
```

***

Entry 3
Below is crystalline BaOsAu2 at its relaxed geometry, with properties calculated at the GGA-PBE level.

## Properties
DOS at the Fermi energy: 9.522 states/eV/cell

Cell and atoms, written as CIF:
```
data_BaOsAu2
_cell_length_a 4.364
_cell_length_b 4.364
_cell_length_c 9.541
_cell_angle_alpha 90.00
_cell_angle_beta 90.00
_cell_angle_gamma 90.00
_symmetry_space_group_name_H-M 'I -4 m 2'
_symmetry_Int_Tables_number 119
_symmetry_space_group_name_Hall 'I -4 -2'
loop_
_atom_site_label
_atom_site_fract_x
_atom_site_fract_y
_atom_site_fract_z
Ba1 0.000 0.000 0.000
Os1 0.000 0.500 0.750
Au1 0.000 0.000 0.500
Au2 0.000 0.500 0.250
```

***

Most stable: entry 1 (next structure +6.5 kJ/mol of atoms)

***

Entry 1
Below is crystalline BaOs3Au at its relaxed geometry, with properties calculated at the GGA-PBE level.

## Properties
DOS at the Fermi energy: 6.520 states/eV/cell

Cell and atoms, written as CIF:
```
data_BaOs3Au
_cell_length_a 5.029
_cell_length_b 5.029
_cell_length_c 5.029
_cell_angle_alpha 90.00
_cell_angle_beta 90.00
_cell_angle_gamma 90.00
_symmetry_space_group_name_H-M 'P m -3 m'
_symmetry_Int_Tables_number 221
_symmetry_space_group_name_Hall '-P 4 2 3'
loop_
_atom_site_label
_atom_site_fract_x
_atom_site_fract_y
_atom_site_fract_z
Ba1 0.000 0.000 0.000
Os1 0.000 0.500 0.500
Au1 0.500 0.500 0.500
```

***

Entry 2
Below is crystalline BaOs3Au at its relaxed geometry, with properties calculated at the GGA-PBE level.

## Properties
DOS at the Fermi energy: 4.439 states/eV/cell

Cell and atoms, written as CIF:
```
data_BaOs3Au
_cell_length_a 5.046
_cell_length_b 5.046
_cell_length_c 5.046
_cell_angle_alpha 90.00
_cell_angle_beta 90.00
_cell_angle_gamma 90.00
_symmetry_space_group_name_H-M 'P m -3 m'
_symmetry_Int_Tables_number 221
_symmetry_space_group_name_Hall '-P 4 2 3'
loop_
_atom_site_label
_atom_site_fract_x
_atom_site_fract_y
_atom_site_fract_z
Ba1 0.000 0.000 0.000
Os1 0.000 0.000 0.500
Au1 0.500 0.500 0.500
```

***

Most stable: entry 1 (next structure +150.1 kJ/mol of atoms)

***

Entry 1
Below is crystalline BaOsAu3 at its relaxed geometry, with properties calculated at the GGA-PBE level.

## Properties
DOS at the Fermi energy: 30.370 states/eV/cell

Cell and atoms, written as CIF:
```
data_BaOsAu3
_cell_length_a 5.998
_cell_length_b 5.998
_cell_length_c 5.998
_cell_angle_alpha 90.00
_cell_angle_beta 90.00
_cell_angle_gamma 90.00
_symmetry_space_group_name_H-M 'P m -3 m'
_symmetry_Int_Tables_number 221
_symmetry_space_group_name_Hall '-P 4 2 3'
loop_
_atom_site_label
_atom_site_fract_x
_atom_site_fract_y
_atom_site_fract_z
Ba1 0.000 0.000 0.000
Os1 0.500 0.500 0.500
Au1 0.000 0.000 0.500
```

***

Entry 2
Below is crystalline BaOsAu3 at its relaxed geometry, with properties calculated at the GGA-PBE level.

## Properties
DOS at the Fermi energy: 4.815 states/eV/cell

Cell and atoms, written as CIF:
```
data_BaOsAu3
_cell_length_a 5.138
_cell_length_b 5.138
_cell_length_c 5.138
_cell_angle_alpha 90.00
_cell_angle_beta 90.00
_cell_angle_gamma 90.00
_symmetry_space_group_name_H-M 'P m -3 m'
_symmetry_Int_Tables_number 221
_symmetry_space_group_name_Hall '-P 4 2 3'
loop_
_atom_site_label
_atom_site_fract_x
_atom_site_fract_y
_atom_site_fract_z
Ba1 0.000 0.000 0.000
Os1 0.500 0.500 0.500
Au1 0.000 0.500 0.500
```

***

Most stable: entry 2 (next structure +167.8 kJ/mol of atoms)